First-principles (PBE) data for KPIrAuO after structural relaxation, as listed in Alexandria via LeMat-Bulk.

Its crystal system is monoclinic. The calculation puts the uncorrected formation energy at -0.7909 eV/atom. The calculation puts the size of the total moment at 0.00 Bohr magnetons per cell. The excess energy over the best structure of this formula in the dataset comes out at 0.000 eV/f.u.

Structure (CIF):
```
data_KPIrAuO
_space_group_name_H-M_alt 'P 1'
_space_group_IT_number 1
_cell_length_a 4.2806
_cell_length_b 3.6356
_cell_length_c 6.8270
_cell_angle_alpha 90.00
_cell_angle_beta 90.15
_cell_angle_gamma 90.00
loop_
_space_group_symop_operation_xyz
'x,y,z'
loop_
_atom_site_label
_atom_site_type_symbol
_atom_site_fract_x
_atom_site_fract_y
_atom_site_fract_z
K1 K 0.0000 0.0000 0.0000
P1 P 0.4984 0.5000 0.6540
Ir1 Ir 0.4976 0.0000 0.4747
Au1 Au 0.9975 0.5000 0.4622
O1 O 0.4994 0.5000 0.8798
```

=====

First-principles (PBE) data for Cs2K3Au after structural relaxation, as listed in Alexandria via LeMat-Bulk.

Its crystal system is orthorhombic. The calculation puts the size of the total moment at 0.00 Bohr magnetons per cell. The excess energy over the best structure of this formula in the dataset comes out at 0.000 eV/f.u.

Structure (CIF):
```
data_Cs2K3Au
_space_group_name_H-M_alt 'P 1'
_space_group_IT_number 1
_cell_length_a 9.5744
_cell_length_b 9.5744
_cell_length_c 8.5605
_cell_angle_alpha 90.00
_cell_angle_beta 90.00
_cell_angle_gamma 102.96
loop_
_space_group_symop_operation_xyz
'x,y,z'
loop_
_atom_site_label
_atom_site_type_symbol
_atom_site_fract_x
_atom_site_fract_y
_atom_site_fract_z
Cs1 Cs 0.0320 0.5943 0.7500
Cs2 Cs 0.4057 0.9680 0.7500
Cs3 Cs 0.5943 0.0320 0.2500
Cs4 Cs 0.9680 0.4057 0.2500
K1 K 0.1053 0.8947 0.2500
K2 K 0.3474 0.3474 0.0000
K3 K 0.3474 0.3474 0.5000
K4 K 0.6526 0.6526 0.0000
K5 K 0.6526 0.6526 0.5000
K6 K 0.8947 0.1053 0.7500
Au1 Au 0.3497 0.6503 0.2500
Au2 Au 0.6503 0.3497 0.7500
```

=====

First-principles (PBE) data for LiPbSe2 after structural relaxation, as listed in Alexandria via LeMat-Bulk.

Its crystal system is orthorhombic. The calculation puts the uncorrected formation energy at -0.4892 eV/atom. The calculation puts the size of the total moment at 0.00 Bohr magnetons per cell.

Structure (CIF):
```
data_LiPbSe2
_space_group_name_H-M_alt 'P 1'
_space_group_IT_number 1
_cell_length_a 4.9724
_cell_length_b 4.9724
_cell_length_c 3.9109
_cell_angle_alpha 90.00
_cell_angle_beta 90.00
_cell_angle_gamma 101.99
loop_
_space_group_symop_operation_xyz
'x,y,z'
loop_
_atom_site_label
_atom_site_type_symbol
_atom_site_fract_x
_atom_site_fract_y
_atom_site_fract_z
Li1 Li 0.0000 0.0000 0.0000
Pb1 Pb 0.5000 0.5000 0.0000
Se1 Se 0.0000 0.5000 0.5000
Se2 Se 0.5000 0.0000 0.5000
```

=====

First-principles (PBE) data for Ca8MgCd2 after structural relaxation, as listed in Alexandria via LeMat-Bulk.

Its crystal system is orthorhombic. The calculation puts the size of the total moment at 0.00 Bohr magnetons per cell. The excess energy over the best structure of this formula in the dataset comes out at 0.249 eV/f.u.

Structure (CIF):
```
data_Ca8MgCd2
_space_group_name_H-M_alt 'P 1'
_space_group_IT_number 1
_cell_length_a 9.3764
_cell_length_b 9.3764
_cell_length_c 9.3764
_cell_angle_alpha 146.78
_cell_angle_beta 120.61
_cell_angle_gamma 69.77
loop_
_space_group_symop_operation_xyz
'x,y,z'
loop_
_atom_site_label
_atom_site_type_symbol
_atom_site_fract_x
_atom_site_fract_y
_atom_site_fract_z
Ca1 Ca 0.1238 0.3382 0.7857
Ca2 Ca 0.1394 0.1394 0.0000
Ca3 Ca 0.3152 0.0000 0.3152
Ca4 Ca 0.4475 0.6618 0.7857
Ca5 Ca 0.5525 0.3382 0.2143
Ca6 Ca 0.6848 0.0000 0.6848
Ca7 Ca 0.8606 0.8606 0.0000
Ca8 Ca 0.8762 0.6618 0.2143
Mg1 Mg 0.0000 0.5000 0.5000
Cd1 Cd 0.3021 0.8021 0.5000
Cd2 Cd 0.6979 0.1979 0.5000
```

=====

First-principles (PBE) data for ZnIrOs2 after structural relaxation, as listed in Alexandria via LeMat-Bulk.

Its crystal system is orthorhombic. The calculation puts the size of the total moment at 0.00 Bohr magnetons per cell. The total energy is -7.826 eV per atom.

Structure (CIF):
```
data_ZnIrOs2
_space_group_name_H-M_alt 'P 1'
_space_group_IT_number 1
_cell_length_a 5.1442
_cell_length_b 5.1442
_cell_length_c 5.1442
_cell_angle_alpha 147.44
_cell_angle_beta 128.31
_cell_angle_gamma 62.43
loop_
_space_group_symop_operation_xyz
'x,y,z'
loop_
_atom_site_label
_atom_site_type_symbol
_atom_site_fract_x
_atom_site_fract_y
_atom_site_fract_z
Zn1 Zn 0.0000 0.0000 0.0000
Ir1 Ir 0.2335 0.7335 0.5000
Os1 Os 0.5062 0.5062 0.0000
Os2 Os 0.7628 0.2628 0.5000
```

=====

First-principles (PBE) data for SbRuI2N after structural relaxation, as listed in Alexandria via LeMat-Bulk.

Its crystal system is tetragonal. The calculation puts the uncorrected formation energy at 1.5901 eV/atom. The calculation puts the size of the total moment at 0.12 Bohr magnetons per cell. The excess energy over the best structure of this formula in the dataset comes out at 5.537 eV/f.u.

Structure (CIF):
```
data_SbRuI2N
_space_group_name_H-M_alt 'P 1'
_space_group_IT_number 1
_cell_length_a 5.4092
_cell_length_b 5.4092
_cell_length_c 5.0385
_cell_angle_alpha 90.00
_cell_angle_beta 90.00
_cell_angle_gamma 90.00
loop_
_space_group_symop_operation_xyz
'x,y,z'
loop_
_atom_site_label
_atom_site_type_symbol
_atom_site_fract_x
_atom_site_fract_y
_atom_site_fract_z
Sb1 Sb 0.0000 0.0000 0.0000
Ru1 Ru 0.0000 0.0000 0.5000
I1 I 0.0000 0.5000 0.5000
I2 I 0.5000 0.0000 0.5000
N1 N 0.5000 0.5000 0.0000
```

=====

First-principles (PBE) data for ZrRe3C after structural relaxation, as listed in Alexandria via LeMat-Bulk.

Its crystal system is cubic. The calculation puts the size of the total moment at 0.00 Bohr magnetons per cell. The excess energy over the best structure of this formula in the dataset comes out at 0.000 eV/f.u.

Structure (CIF):
```
data_ZrRe3C
_space_group_name_H-M_alt 'P 1'
_space_group_IT_number 1
_cell_length_a 4.1734
_cell_length_b 4.1734
_cell_length_c 4.1734
_cell_angle_alpha 90.00
_cell_angle_beta 90.00
_cell_angle_gamma 90.00
loop_
_space_group_symop_operation_xyz
'x,y,z'
loop_
_atom_site_label
_atom_site_type_symbol
_atom_site_fract_x
_atom_site_fract_y
_atom_site_fract_z
Zr1 Zr 0.0000 0.0000 0.0000
Re1 Re 0.0000 0.5000 0.5000
Re2 Re 0.5000 0.0000 0.5000
Re3 Re 0.5000 0.5000 0.0000
C1 C 0.5000 0.5000 0.5000
```

=====

Number 1: calculated density 7.4 Mg/m³. Number 2: calculated density 2.5 Mg/m³. Number 3: calculated density 6.5 Mg/m³. Number 4: calculated density 2.5 Mg/m³. Number 5: calculated density 18.6 Mg/m³. Number 6: calculated density 5.5 Mg/m³. Number 7: calculated density 15.1 Mg/m³.